Below is Tm6PaS8 after structural relaxation, with properties calculated at the PBE level.

The structure in POSCAR format:
```
Tm6PaS8
1.0
0.000 5.429 5.429
5.429 0.000 5.429
5.429 5.429 0.000
Tm Pa S
6 1 8
Cartesian
2.714 2.714 0.000
2.714 0.000 2.714
5.429 2.714 2.714
0.000 2.714 2.714
2.714 5.429 2.714
2.714 2.714 5.429
0.000 0.000 0.000
2.714 2.714 2.714
5.429 5.429 2.781
5.429 2.781 5.429
8.077 5.429 5.429
2.781 5.429 5.429
5.429 8.077 5.429
5.429 5.429 8.077
8.143 8.143 8.143
```

Formation energy (no corrections)   -1.90 eV/atom
Magnetization   1.15 μB per cell
V   21.33 Å³ per atom
Space group   No. 225

=====

Below is TmPa2S6 after structural relaxation, with properties calculated at the PBE level.

The structure in POSCAR format:
```
TmPa2S6
1.0
6.765 -2.567 0.000
6.765 2.567 0.000
-5.117 0.000 7.048
Tm Pa S
1 2 6
Cartesian
0.000 0.000 0.000
-0.641 0.000 4.342
9.054 0.000 2.706
-3.221 0.000 5.073
1.538 0.000 2.584
0.182 0.000 6.720
8.231 0.000 0.328
6.875 0.000 4.464
11.633 0.000 1.975
```

Formation energy (no corrections)   -1.56 eV/atom
Magnetization   1.12 μB per cell
V   27.20 Å³ per atom
Energy above the most stable polymorph in this dataset   105.6 meV/atom
Space group   No. 12

=====

Below is YTm2PaS4 after structural relaxation, with properties calculated at the PBE level.

The structure in POSCAR format:
```
YTm2PaS4
1.0
6.705 0.000 0.000
0.000 3.835 0.000
-2.187 0.000 6.386
Y Tm Pa S
1 2 1 4
Cartesian
0.000 0.000 0.000
-1.094 1.917 3.193
2.259 0.000 3.193
3.353 1.917 0.000
0.028 0.000 4.736
1.128 1.917 1.643
3.390 1.917 4.743
4.490 0.000 1.650
```

Formation energy (no corrections)   -1.85 eV/atom
Magnetization   0.00 μB per cell
V   20.53 Å³ per atom
Space group   No. 10

=====

Below is U2PaS5 after structural relaxation, with properties calculated at the PBE level.

The structure in POSCAR format:
```
U2PaS5
1.0
11.619 0.000 0.000
0.000 7.883 0.000
0.000 0.000 7.326
U Pa S
8 4 20
Cartesian
2.081 0.014 0.176
2.081 3.928 0.176
3.728 3.955 3.839
3.728 7.869 3.839
7.890 0.014 3.487
7.890 3.928 3.487
9.538 3.955 7.150
9.538 7.869 7.150
0.095 1.971 4.259
5.714 5.912 0.596
5.904 1.971 6.730
11.524 5.912 3.067
11.618 1.971 7.067
0.000 5.912 0.259
1.136 4.328 4.898
1.136 7.496 4.898
2.180 1.971 2.418
2.553 5.912 2.185
3.256 1.971 5.848
3.629 5.912 6.081
4.673 0.387 1.235
4.673 3.555 1.235
5.809 1.971 3.922
5.809 5.912 3.404
6.946 4.328 6.091
6.946 7.496 6.091
7.990 1.971 1.245
8.362 5.912 1.478
9.066 1.971 5.141
9.438 5.912 4.908
10.482 0.387 2.428
10.482 3.555 2.428
```

Formation energy (no corrections)   -1.51 eV/atom
Magnetization   27.06 μB per cell
V   20.97 Å³ per atom
Space group   No. 62

=====

Number 1: final energy -6.52 eV per atom. Number 2: final energy -6.91 eV per atom. Number 3: final energy -7.02 eV per atom. Number 4: final energy -8.10 eV per atom.